Material: MnTl2CoF6
Method: DFT, PBE with a Hubbard U
State: relaxed Values from VASP.

```
&SYSTEM
  ibrav = 0, nat = 20, ntyp = 4
/
ATOMIC_SPECIES
Mn 54.94 Mn.upf
F 19.00 F.upf
Tl 204.38 Tl.upf
Co 58.93 Co.upf
CELL_PARAMETERS angstrom
-5.5651 -2.2825 -0.2475
1.2231 -3.4972 4.7502
-2.7409 6.1177 5.2096
ATOMIC_POSITIONS angstrom
Mn -2.4768 -2.0156 1.0638
Mn -0.4531 0.4359 6.1675
F 0.2471 -1.1270 4.8366
F -0.7450 -2.3147 2.3262
F -4.9040 -0.3801 4.7842
F -2.7904 2.4669 2.5529
F -3.5911 -3.4820 2.1996
F -4.5174 2.5392 4.9425
F -2.1849 0.7351 4.9051
F -1.1534 1.9988 7.4984
F -3.1770 -0.4527 2.3947
F -5.5097 1.3516 2.4319
F -0.1395 -4.0465 4.6784
F -2.9853 -5.2137 4.5519
Tl -3.9169 0.8152 7.3386
Tl -1.7539 3.7229 5.1023
Tl -0.3755 0.6463 2.4824
Tl -2.5544 -2.2259 4.7489
Co -3.8472 1.0433 3.6686
Co 0.9173 -2.6229 3.5627
```

Electronic total energy in eV/atom: -5.025
V in A^3/atom: 15.39